# 1
A crystal of TlCdO2 relaxed with PBEsol. Source: Alexandria via LeMat-Bulk, functional meta-GGA SCAN.

a b c (Å): 6.360 6.360 6.360
angles (deg): 131.69 131.69 70.73
Fractional positions:
1 Tl 0.000 0.000 0.000
2 Tl 0.750 0.250 0.500
3 Cd 0.250 0.750 0.500
4 Cd 0.500 0.500 0.000
5 O 0.135 0.625 0.010
6 O 0.375 0.385 0.510
7 O 0.615 0.125 0.990
8 O 0.875 0.865 0.490

symmetry = I-42d (122)
energy relative to the elements, uncorrected = -3.4 eV/f.u.
volume = 17.6 A^3/atom

=====

# 2
A crystal of TlPRh2 relaxed with PBEsol. Source: Alexandria via LeMat-Bulk, functional meta-GGA SCAN.

a b c (Å): 3.238 3.238 6.190
angles (deg): 90.00 90.00 90.00
Fractional positions:
1 Tl 0.000 0.000 0.000
2 P 0.500 0.500 0.368
3 Rh 0.000 0.000 0.463
4 Rh 0.500 0.500 0.739

symmetry = P4mm (99)
volume = 16.2 A^3/atom
E_form = -121.1 meV/atom

=====

# 3
A crystal of AgPCl4 relaxed with PBEsol. Source: Alexandria via LeMat-Bulk, functional meta-GGA SCAN.

a b c (Å): 5.597 5.597 5.597
angles (deg): 60.00 60.00 60.00
Fractional positions:
1 Ag 0.000 0.000 0.000
2 P 0.750 0.750 0.750
3 Cl 0.375 0.375 0.375
4 Cl 0.375 0.375 0.876
5 Cl 0.375 0.876 0.375
6 Cl 0.876 0.375 0.375

symmetry = F-43m (216)
energy relative to the elements, uncorrected = 5.9 eV/f.u.
volume = 20.7 A^3/atom

=====

# 4
A crystal of ZrCoW3 relaxed with PBEsol. Source: Alexandria via LeMat-Bulk, functional meta-GGA SCAN.

a b c (Å): 4.466 4.466 4.466
angles (deg): 90.00 90.00 90.00
Fractional positions:
1 Zr 0.000 0.000 0.000
2 Co 0.500 0.500 0.500
3 W 0.000 0.500 0.500
4 W 0.500 0.000 0.500
5 W 0.500 0.500 0.000

symmetry = Pm-3m (221)
volume = 17.8 A^3/atom
E_form = 1128.3 meV/atom